#a
## SmDy2Fe (PBE)

Data for SmDy2Fe after structural relaxation.

The space-group type is P4/mmm (123).

a b c (Å): 3.3619 3.3619 9.0870
angles (deg): 90.00 90.00 90.00
Element x y z (fractional)
Dy 0.0000 0.0000 0.1769
Dy 0.0000 0.0000 0.8231
Fe 0.5000 0.5000 0.0000
Sm 0.5000 0.5000 0.5000

=====

#b
## SmDy2Fe (PBE)

Data for SmDy2Fe after structural relaxation.

The space-group type is R-3m (166).

a b c (Å): 3.4759 3.4759 10.8546
angles (deg): 80.79 80.79 60.00
Site moments in Bohr magnetons follow the coordinates.
Element x y z (fractional)
Dy 0.8911 0.8911 0.3268  -0.23
Dy 0.1089 0.1089 0.6732  -0.23
Fe 0.5000 0.5000 0.5000  1.52
Sm 0.0000 0.0000 0.0000  -0.01

=====

So which one wins? Going from most stable to least: #a, #b.

=====

#a
## DyTaFe4 (PBE)

Data for DyTaFe4 after structural relaxation.

The space-group type is P-3m1 (164).

a b c (Å): 4.9556 4.9556 8.1879
angles (deg): 90.00 90.00 120.00
Site moments in Bohr magnetons follow the coordinates.
Element x y z (fractional)
Dy 0.6667 0.3333 0.9325  -0.46
Dy 0.3333 0.6667 0.0675  -0.46
Fe 0.6641 0.8321 0.7338  1.84
Fe 0.8321 0.6641 0.2662  1.84
Fe 0.0000 0.0000 0.0000  2.01
Fe 0.1679 0.3359 0.7338  1.84
Fe 0.1679 0.8321 0.7338  1.84
Fe 0.3359 0.1679 0.2662  1.84
Fe 0.0000 0.0000 0.5000  1.86
Fe 0.8321 0.1679 0.2662  1.84
Ta 0.3333 0.6667 0.4448  -0.38
Ta 0.6667 0.3333 0.5552  -0.38

=====

#b
## DyTaFe4 (PBE)

Data for DyTaFe4 after structural relaxation.

The space-group type is F-43m (216).

a b c (Å): 4.9824 4.9824 4.9824
angles (deg): 60.00 60.00 60.00
Site moments in Bohr magnetons follow the coordinates.
Element x y z (fractional)
Fe 0.6243 0.1271 0.6243  1.96
Fe 0.6243 0.6243 0.1271  1.96
Fe 0.1271 0.6243 0.6243  1.96
Fe 0.6243 0.6243 0.6243  1.96
Dy 0.0000 0.0000 0.0000  -0.42
Ta 0.2500 0.2500 0.2500  -0.65

=====

So which one wins? Going from most stable to least: #a, #b.

=====

#a
## TbDyFe (PBE)

Data for TbDyFe after structural relaxation.

The space-group type is Cmce (64).

a b c (Å): 6.8510 6.8514 7.3411
angles (deg): 90.00 90.00 120.00
Site moments in Bohr magnetons follow the coordinates.
Element x y z (fractional)
Tb 0.3024 0.6048 0.1131  -0.15
Tb 0.8024 0.6048 0.3869  -0.15
Tb 0.1976 0.3952 0.6131  -0.15
Tb 0.6976 0.3952 0.8869  -0.15
Dy 0.2057 0.9115 0.7500  -0.27
Dy 0.7057 0.9115 0.7500  -0.27
Dy 0.2943 0.0885 0.2500  -0.27
Dy 0.7943 0.0885 0.2500  -0.27
Fe 0.9077 0.8154 0.0440  1.32
Fe 0.0923 0.1846 0.9560  1.32
Fe 0.4077 0.8154 0.4560  1.32
Fe 0.5923 0.1846 0.5440  1.32

=====

#b
## TbDyFe (PBE)

Data for TbDyFe after structural relaxation.

The space-group type is I4mm (107).

a b c (Å): 3.3284 3.3284 6.8607
angles (deg): 104.04 104.04 90.00
Element x y z (fractional)
Dy 0.2916 0.2916 0.5832
Fe 0.6671 0.6671 0.3343
Tb 0.0413 0.0413 0.0825

=====

So which one wins? Going from most stable to least: #b, #a.

=====

#a
## DyFeTc (PBE)

Data for DyFeTc after structural relaxation.

The space-group type is C2/m (12).

a b c (Å): 5.5317 5.5317 5.5015
angles (deg): 81.61 128.62 121.63
Site moments in Bohr magnetons follow the coordinates.
Element x y z (fractional)
Tc 0.5000 0.5000 0.5000  0.30
Tc 0.0000 0.0000 0.5000  0.30
Fe 0.2494 0.9900 0.2395  2.40
Fe 0.7506 0.0100 0.7605  2.40
Dy 0.2506 0.6250 0.8756  -0.12
Dy 0.7494 0.3750 0.1244  -0.12

=====

#b
## DyFeTc (PBE)

Data for DyFeTc after structural relaxation.

The space-group type is Imma (74).

a b c (Å): 5.3174 5.3287 5.3287
angles (deg): 57.14 60.07 60.07
Site moments in Bohr magnetons follow the coordinates.
Element x y z (fractional)
Tc 0.5000 0.5000 0.0000  0.19
Tc 0.5000 0.0000 0.5000  0.19
Fe 0.0000 0.0000 0.0000  2.12
Fe 0.5000 0.0000 0.0000  2.12
Dy 0.1270 0.6230 0.6230  -0.27
Dy 0.8730 0.3770 0.3770  -0.27

=====

So which one wins? Going from most stable to least: #b, #a.

=====

#a
## DyTh2Fe2 (PBE)

Data for DyTh2Fe2 after structural relaxation.

The space-group type is C2/m (12).

a b c (Å): 3.9800 5.3698 6.0483
angles (deg): 106.52 109.21 90.00
Element x y z (fractional)
Th 0.6593 0.6270 0.3187
Th 0.3407 0.3730 0.6813
Fe 0.7033 0.1385 0.4066
Fe 0.2967 0.8615 0.5934
Dy 0.0000 0.0000 0.0000

=====

#b
## DyTh2Fe2 (PBE)

Data for DyTh2Fe2 after structural relaxation.

The space-group type is C2/c (15).

a b c (Å): 6.0869 6.2294 7.3809
angles (deg): 77.69 90.00 60.75
Element x y z (fractional)
Th 0.7686 0.6802 0.1567
Th 0.4487 0.3198 0.3433
Th 0.5513 0.6802 0.6567
Th 0.2314 0.3198 0.8433
Dy 0.9187 0.0000 0.7500
Dy 0.0813 0.0000 0.2500
Fe 0.0624 0.6328 0.5323
Fe 0.3049 0.6328 0.0323
Fe 0.6951 0.3672 0.9677
Fe 0.9376 0.3672 0.4677

=====

So which one wins? Going from most stable to least: #b, #a.

=====

#a
## Dy2ThFe (PBE)

Data for Dy2ThFe after structural relaxation.

The space-group type is P4/mmm (123).

a b c (Å): 3.3825 3.3825 8.8502
angles (deg): 90.00 90.00 90.00
Element x y z (fractional)
Dy 0.0000 0.0000 0.8190
Dy 0.0000 0.0000 0.1810
Fe 0.5000 0.5000 0.0000
Th 0.5000 0.5000 0.5000

=====

#b
## Dy2ThFe (PBE)

Data for Dy2ThFe after structural relaxation.

The space-group type is Fm-3m (225).

a b c (Å): 5.2376 5.2376 5.2376
angles (deg): 60.00 60.00 60.00
Site moments in Bohr magnetons follow the coordinates.
Element x y z (fractional)
Dy 0.2500 0.2500 0.2499  -0.52
Dy 0.7500 0.7500 0.7501  -0.52
Fe 0.0000 0.0000 0.0000  2.55
Th 0.5000 0.5000 0.5000  -0.64

=====

#c
## Dy2ThFe (PBE)

Data for Dy2ThFe after structural relaxation.

The space-group type is Pnma (62).

a b c (Å): 6.2802 6.9775 9.5448
angles (deg): 90.00 90.00 90.00
Element x y z (fractional)
Fe 0.9861 0.6310 0.7500
Fe 0.5139 0.1310 0.7500
Fe 0.0139 0.3690 0.2500
Fe 0.4861 0.8690 0.2500
Th 0.1573 0.9405 0.7500
Th 0.3427 0.4405 0.7500
Th 0.8427 0.0595 0.2500
Th 0.6573 0.5595 0.2500
Dy 0.6765 0.8320 0.5695
Dy 0.1765 0.6680 0.4305
Dy 0.1765 0.6680 0.0695
Dy 0.3235 0.1680 0.0695
Dy 0.8235 0.3320 0.9305
Dy 0.8235 0.3320 0.5695
Dy 0.6765 0.8320 0.9305
Dy 0.3235 0.1680 0.4305

=====

So which one wins? Going from most stable to least: #c, #a, #b.